(1)
PtBrO2: relaxed, PBE.

## Properties
VASP energy = -51.97 eV for the cell shown
Fermi-level density of states = 20.66 states/eV per cell

Cell: 5.8354 5.8354 5.8354 Å, 90.00 90.00 90.00°
Last column: nearest neighbours and their distance in Å.
Space group Fm-3m (No. 225)
Unique sites:
Pt: 0.0000 0.0000 0.0000 [4 per cell]  8 O 2.53
Br: 0.0000 0.0000 0.5000 [4 per cell]  8 O 2.53
O: 0.2500 0.2500 0.2500 [8 per cell]  4 Br 2.53, 4 Pt 2.53



(2)
PtBrO3: relaxed, PBE.

## Properties
VASP energy = -16.45 eV for the cell shown
Fermi-level density of states = 5.21 states/eV per cell

Cell: 3.9653 3.9653 3.9653 Å, 90.00 90.00 90.00°
Last column: nearest neighbours and their distance in Å.
Space group Pm-3m (No. 221)
Unique sites:
Pt: 0.0000 0.0000 0.0000 [1 per cell]  12 O 2.80
Br: 0.5000 0.5000 0.5000 [1 per cell]  6 O 1.98
O: 0.0000 0.5000 0.5000 [3 per cell]  2 Br 1.98



(3)
Pt3BrO: relaxed, PBE.

## Properties
Fermi-level density of states = 3.99 states/eV per cell
distance to the lowest polymorph of the same formula = 0.00 kJ/mol of atoms

Cell: 4.3763 4.3763 4.3763 Å, 90.00 90.00 90.00°
Last column: nearest neighbours and their distance in Å.
Space group Pm-3m (No. 221)
Unique sites:
Pt: 0.0000 0.0000 0.5000 [3 per cell]  2 O 2.19
Br: 0.5000 0.5000 0.5000 [1 per cell]  12 Pt 3.09
O: 0.0000 0.0000 0.0000 [1 per cell]  6 Pt 2.19



(4)
PtBrO3: relaxed, PBE.

## Properties
VASP energy = -20.40 eV for the cell shown
Fermi-level density of states = 6.10 states/eV per cell

Cell: 3.9779 3.9779 3.9779 Å, 90.00 90.00 90.00°
Last column: nearest neighbours and their distance in Å.
Space group Pm-3m (No. 221)
Unique sites:
Pt: 0.0000 0.0000 0.0000 [1 per cell]  6 O 1.99
Br: 0.5000 0.5000 0.5000 [1 per cell]  12 O 2.81
O: 0.0000 0.0000 0.5000 [3 per cell]  2 Pt 1.99



(5)
PtBrO: relaxed, PBE.

## Properties
VASP energy = -51.83 eV for the cell shown
Fermi-level density of states = 3.20 states/eV per cell

Cell: 6.5602 6.8727 5.7390 Å, 90.00 109.55 90.00°
Last column: nearest neighbours and their distance in Å.
Space group P2_1/c (No. 14)
Unique sites:
Pt: 0.0191 0.1078 0.2522 [4 per cell]  3 O 2.04-2.11
Br: 0.3047 0.0645 0.6632 [4 per cell]  2 Pt 2.49-2.62
O: 0.1095 0.6479 0.6348 [4 per cell]  3 Pt 2.04-2.11



(6)
PtBr3O: relaxed, PBE.

## Properties
Fermi-level density of states = 5.64 states/eV per cell
distance to the lowest polymorph of the same formula = 21.84 kJ/mol of atoms

Cell: 4.7049 4.7049 4.7049 Å, 90.00 90.00 90.00°
Last column: nearest neighbours and their distance in Å.
Space group Pm-3m (No. 221)
Unique sites:
Pt: 0.0000 0.0000 0.0000 [1 per cell]  12 Br 3.33
Br: 0.0000 0.5000 0.5000 [3 per cell]  2 O 2.35
O: 0.5000 0.5000 0.5000 [1 per cell]  6 Br 2.35